Entry 1:
Here is TaOsS2N after structural relaxation from Alexandria via LeMat-Bulk. Energies are from PBE.

Cell lengths 4.784, 4.784, 3.635 Å; angles 90.00, 90.00, 90.00 degrees
Positions (direct):
Ta (0.000, 0.000, 0.000)
Os (0.500, 0.500, 0.500)
S (0.000, 0.500, 0.500)
S (0.500, 0.000, 0.500)
N (0.500, 0.500, 0.000)

Values from the calculation:
Its energy relative to the elements, uncorrected is 16.77 kcal/mol of atoms.



Entry 2:
Here is LiNbRu2 after structural relaxation from Alexandria via LeMat-Bulk. Energies are from PBE.

Cell lengths 5.498, 5.498, 5.498 Å; angles 104.28, 104.28, 120.43 degrees
Positions (direct):
Li (0.000, 0.000, 0.000)
Li (0.750, 0.250, 0.500)
Nb (0.250, 0.750, 0.500)
Nb (0.500, 0.500, 0.000)
Ru (0.122, 0.125, 0.497)
Ru (0.375, 0.878, 0.003)
Ru (0.628, 0.625, 0.503)
Ru (0.875, 0.372, 0.997)

Values from the calculation:
As for the total energy: -7.1774 eV/atom.